Density functional theory data (PBE-GGA) for an optimized crystal structure of La14SmTm.

abc: 7.387 7.387 10.523
angles: 90.00 90.00 89.92
Fractional coordinates of all 16 atoms:
Tm1 0.375 0.625 0.000
La1 0.127 0.873 0.248
La2 0.623 0.873 0.248
La3 0.375 0.125 0.000
La4 0.623 0.377 0.248
La5 0.127 0.377 0.752
La6 0.623 0.377 0.752
La7 0.375 0.125 0.500
La8 0.875 0.125 0.500
La9 0.375 0.625 0.500
La10 0.875 0.625 0.000
La11 0.623 0.873 0.752
La12 0.127 0.377 0.248
Sm1 0.875 0.125 0.000
La13 0.127 0.873 0.752
La14 0.875 0.625 0.500

Formation energy from the elements ... 0.009 eV per atom
DOS(E_F) ... 27.819 states/eV/cell
Spin magnetization ... 0.0 Bohr magnetons per cell
Total DFT energy (no corrections) ... -78.037 eV/cell